[1]
# Sc3AuN (PBE-GGA, relaxed)
data_Sc3AuN
_cell_length_a 11.633
_cell_length_b 11.168
_cell_length_c 6.640
_cell_angle_alpha 90.00
_cell_angle_beta 103.87
_cell_angle_gamma 90.00
_space_group_name_H-M_alt 'C 1 2/c 1'
_space_group_IT_number 15
_space_group_name_Hall '-C 2yc'
loop_
_atom_site_label
_atom_site_type_symbol
_atom_site_fract_x
_atom_site_fract_y
_atom_site_fract_z
Sc1 Sc 0.120 0.123 0.143
Sc2 Sc 0.129 0.251 0.634
Sc3 Sc 0.147 0.466 0.039
Au1 Au 0.000 0.067 0.750
Au2 Au 0.000 0.335 0.250
N1 N 0.200 0.402 0.776
# Formation energy without anion corrections (eV per atom): -0.902
# Crystal system: monoclinic
# VASP energy (eV/atom): -7.02
# Spin magnetization (μB per formula unit): 0.00

---

[2]
# Tb4TeC2 (PBE-GGA, relaxed)
data_Tb4TeC2
_cell_length_a 3.7534
_cell_length_b 3.7534
_cell_length_c 40.3943
_cell_angle_alpha 90.00
_cell_angle_beta 90.00
_cell_angle_gamma 120.00
_space_group_name_H-M_alt 'R -3 m'
_space_group_IT_number 166
_space_group_name_Hall '-R 3 2"'
loop_
_atom_site_label
_atom_site_type_symbol
_atom_site_fract_x
_atom_site_fract_y
_atom_site_fract_z
Tb1 Tb 0.0000 0.0000 0.1207
Tb2 Tb 0.0000 0.0000 0.2786
Te1 Te 0.0000 0.0000 0.0000
C1 C 0.0000 0.0000 0.4230
# Formation energy without anion corrections (eV per atom): -0.559
# Crystal system: trigonal
# Energy above the lowest structure with this stoichiometry (meV per atom): 27
# VASP energy (eV/atom): -6.29
# Spin magnetization (μB per formula unit): 0.00

---

[3]
# PuAl4PdAu2 (PBE-GGA, relaxed)
data_PuAl4PdAu2
_cell_length_a 4.3587
_cell_length_b 4.3587
_cell_length_c 26.6823
_cell_angle_alpha 90.00
_cell_angle_beta 90.00
_cell_angle_gamma 120.00
_space_group_name_H-M_alt 'R -3 m'
_space_group_IT_number 166
_space_group_name_Hall '-R 3 2"'
loop_
_atom_site_label
_atom_site_type_symbol
_atom_site_fract_x
_atom_site_fract_y
_atom_site_fract_z
Pu1 Pu 0.0000 0.0000 0.0000
Al1 Al 0.0000 0.0000 0.1322
Al2 Al 0.0000 0.0000 0.4015
Pd1 Pd 0.0000 0.0000 0.5000
Au1 Au 0.0000 0.0000 0.2454
# Energy relative to the elements (kcal/mol of atoms): -10.78
# Crystal system: trigonal
# VASP energy (eV/atom): -5.60
# Spin magnetization (μB per formula unit): 5.68

---

[4]
# LaAsSe2 (PBE-GGA, relaxed)
data_LaAsSe2
_cell_length_a 4.839
_cell_length_b 4.839
_cell_length_c 3.967
_cell_angle_alpha 90.00
_cell_angle_beta 90.00
_cell_angle_gamma 90.00
_space_group_name_H-M_alt 'P 4/m m m'
_space_group_IT_number 123
_space_group_name_Hall '-P 4 2'
loop_
_atom_site_label
_atom_site_type_symbol
_atom_site_fract_x
_atom_site_fract_y
_atom_site_fract_z
La1 La 0.000 0.000 0.000
As1 As 0.500 0.500 0.000
Se1 Se 0.000 0.500 0.500
# Formation energy without anion corrections (eV per atom): -0.948
# Crystal system: tetragonal
# VASP energy (eV/atom): -5.08
# Spin magnetization (μB per formula unit): 0.00

---

[5]
# CdSbBr2O (PBE-GGA, relaxed)
data_CdSbBr2O
_cell_length_a 5.823
_cell_length_b 5.823
_cell_length_c 4.087
_cell_angle_alpha 90.00
_cell_angle_beta 90.00
_cell_angle_gamma 90.00
_space_group_name_H-M_alt 'P 4/m m m'
_space_group_IT_number 123
_space_group_name_Hall '-P 4 2'
loop_
_atom_site_label
_atom_site_type_symbol
_atom_site_fract_x
_atom_site_fract_y
_atom_site_fract_z
Cd1 Cd 0.000 0.000 0.000
Sb1 Sb 0.500 0.500 0.500
Br1 Br 0.000 0.500 0.500
O1 O 0.500 0.500 0.000
# Formation energy without anion corrections (eV per atom): -0.422
# Crystal system: tetragonal
# VASP energy (eV/atom): -3.09
# Spin magnetization (μB per formula unit): 0.00

---

[6]
# KZnPO4 (PBE-GGA, relaxed)
data_KZnPO4
_cell_length_a 4.940
_cell_length_b 5.621
_cell_length_c 7.446
_cell_angle_alpha 90.00
_cell_angle_beta 105.97
_cell_angle_gamma 90.00
_space_group_name_H-M_alt 'P 1 21/m 1'
_space_group_IT_number 11
_space_group_name_Hall '-P 2yb'
loop_
_atom_site_label
_atom_site_type_symbol
_atom_site_fract_x
_atom_site_fract_y
_atom_site_fract_z
K1 K 0.195 0.250 0.112
Zn1 Zn 0.172 0.750 0.514
P1 P 0.366 0.250 0.697
O1 O 0.157 0.031 0.688
O2 O 0.387 0.750 0.129
O3 O 0.449 0.250 0.510
# Formation energy without anion corrections (eV per atom): -2.028
# Crystal system: monoclinic
# Energy above the lowest structure with this stoichiometry (meV per atom): 82
# VASP energy (eV/atom): -5.97
# Spin magnetization (μB per formula unit): 0.00

---

[7]
# SiSn (PBE-GGA, relaxed)
data_SiSn
_cell_length_a 8.323
_cell_length_b 8.323
_cell_length_c 8.323
_cell_angle_alpha 90.00
_cell_angle_beta 90.00
_cell_angle_gamma 90.00
_space_group_name_H-M_alt 'I -4 3 m'
_space_group_IT_number 217
_space_group_name_Hall 'I -4 2 3'
loop_
_atom_site_label
_atom_site_type_symbol
_atom_site_fract_x
_atom_site_fract_y
_atom_site_fract_z
Si1 Si 0.159 0.159 0.159
Sn1 Sn 0.161 0.161 0.839
# Formation energy without anion corrections (eV per atom): 0.406
# Crystal system: cubic
# VASP energy (eV/atom): -4.31
# Spin magnetization (μB per formula unit): 0.00

---

[8]
# Pr3Nb2Ge4 (PBE-GGA, relaxed)
data_Pr3Nb2Ge4
_cell_length_a 12.664
_cell_length_b 4.096
_cell_length_c 8.808
_cell_angle_alpha 90.00
_cell_angle_beta 111.75
_cell_angle_gamma 90.00
_space_group_name_H-M_alt 'C 1 2/m 1'
_space_group_IT_number 12
_space_group_name_Hall '-C 2y'
loop_
_atom_site_label
_atom_site_type_symbol
_atom_site_fract_x
_atom_site_fract_y
_atom_site_fract_z
Pr1 Pr 0.000 0.000 0.000
Pr2 Pr 0.114 0.500 0.702
Nb1 Nb 0.199 0.500 0.374
Ge1 Ge 0.078 0.000 0.406
Ge2 Ge 0.208 0.500 0.071
# Energy relative to the elements (kcal/mol of atoms): -13.36
# Crystal system: monoclinic
# VASP energy (eV/atom): -6.46
# Spin magnetization (μB per formula unit): 0.00

---

[9]
# CaSeBrF (PBE-GGA, relaxed)
data_CaSeBrF
_cell_length_a 7.447
_cell_length_b 4.081
_cell_length_c 6.294
_cell_angle_alpha 90.00
_cell_angle_beta 90.70
_cell_angle_gamma 90.00
_space_group_name_H-M_alt 'C 1 m 1'
_space_group_IT_number 8
_space_group_name_Hall 'C -2y'
loop_
_atom_site_label
_atom_site_type_symbol
_atom_site_fract_x
_atom_site_fract_y
_atom_site_fract_z
Ca1 Ca 0.000 0.000 0.000
Se1 Se 0.471 0.000 0.669
Br1 Br 0.145 0.500 0.345
F1 F 0.312 0.000 0.005
# Formation energy without anion corrections (eV per atom): -1.759
# Crystal system: monoclinic
# Energy above the lowest structure with this stoichiometry (meV per atom): 51
# VASP energy (eV/atom): -4.02
# Spin magnetization (μB per formula unit): 0.00

---

[10]
# NiTeAs2 (PBE-GGA, relaxed)
data_NiTeAs2
_cell_length_a 3.520
_cell_length_b 3.520
_cell_length_c 6.807
_cell_angle_alpha 90.00
_cell_angle_beta 90.00
_cell_angle_gamma 90.00
_space_group_name_H-M_alt 'P 4 m m'
_space_group_IT_number 99
_space_group_name_Hall 'P 4 -2'
loop_
_atom_site_label
_atom_site_type_symbol
_atom_site_fract_x
_atom_site_fract_y
_atom_site_fract_z
Ni1 Ni 0.000 0.000 0.000
Te1 Te 0.500 0.500 0.180
As1 As 0.000 0.000 0.635
As2 As 0.500 0.500 0.773
# Formation energy without anion corrections (eV per atom): 0.190
# Crystal system: tetragonal
# VASP energy (eV/atom): -4.37
# Spin magnetization (μB per formula unit): 0.00

---

[11]
# CdNi3Ge (PBE-GGA, relaxed)
data_CdNi3Ge
_cell_length_a 4.965
_cell_length_b 6.898
_cell_length_c 8.290
_cell_angle_alpha 90.00
_cell_angle_beta 90.00
_cell_angle_gamma 90.00
_space_group_name_H-M_alt 'I m m a'
_space_group_IT_number 74
_space_group_name_Hall '-I 2b 2'
loop_
_atom_site_label
_atom_site_type_symbol
_atom_site_fract_x
_atom_site_fract_y
_atom_site_fract_z
Cd1 Cd 0.000 0.250 0.000
Ni1 Ni 0.000 0.250 0.313
Ni2 Ni 0.250 0.061 0.750
Ge1 Ge 0.000 0.000 0.500
# Energy relative to the elements (kcal/mol of atoms): -0.50
# Crystal system: orthorhombic
# Energy above the lowest structure with this stoichiometry (meV per atom): 0
# VASP energy (eV/atom): -4.60
# Spin magnetization (μB per formula unit): 0.00